[1]
10
Lattice="5.809 0.000 0.000 -2.747 5.458 0.000 -1.021 -2.428 5.788" Properties=species:S:1:pos:R:3 comment="NpTl2AgO6 | the Alexandria database | GGA-PBE | relaxed" space_group="P1, No. 1" e_form_raw_mev_per_atom=-1350 magmom_total_mub_per_cell=0.00 pbc="T T T"
Np 0.000 0.000 0.000
Tl 0.299 3.514 2.240
Tl 2.031 -0.355 5.785
Ag -0.978 1.084 3.687
O -1.922 3.878 1.073
O -2.526 2.848 4.382
O 1.312 1.415 0.929
O 0.821 1.596 4.974
O 3.715 -0.825 4.599
O 4.560 0.418 1.434

---

[2]
10
Lattice="2.905 1.677 4.923 -2.905 1.677 4.923 0.000 -3.354 4.923" Properties=species:S:1:pos:R:3 comment="NpTlAg2O6 | the Alexandria database | GGA-PBE | relaxed" space_group="R-3, No. 148" e_form_raw_mev_per_atom=-1264 magmom_total_mub_per_cell=0.00 pbc="T T T"
Np 0.000 0.000 0.000
Tl 0.000 0.000 7.385
Ag 0.000 0.000 3.595
Ag 0.000 0.000 11.175
O -0.595 -1.796 6.106
O -1.853 -0.383 8.664
O -1.258 1.413 6.106
O 1.258 -1.413 8.664
O 1.853 0.383 6.106
O 0.595 1.796 8.664

---

[3]
12
Lattice="-3.406 3.406 3.779 3.406 -3.406 3.779 3.406 3.406 -3.779" Properties=species:S:1:pos:R:3 comment="NpTlAg2O8 | the Alexandria database | GGA-PBE | relaxed" n_ef_per_ev_cell=4.9 space_group="I-4m2, No. 119" e_form_raw_mev_per_atom=-794 magmom_total_mub_per_cell=0.00 pbc="T T T"
Np 0.000 0.000 0.000
Tl 3.406 0.000 1.889
Ag 0.000 0.000 3.779
Ag 0.000 3.406 1.889
O 2.232 3.406 -1.649
O 1.174 0.000 2.129
O 0.000 1.944 0.189
O 3.406 2.232 1.649
O 0.000 4.869 0.189
O 0.000 1.174 5.428
O -1.463 3.406 3.590
O 1.463 3.406 3.590